[1]
{"formula": "LiP2OsO", "functional": "meta-GGA SCAN", "state": "PBEsol geometry", "cell": [[4.443, 0.000, 0.000], [0.000, 4.443, 0.000], [0.000, 0.000, 3.036]], "species": ["Li", "P", "P", "Os", "O"], "frac_coords": [[0.000, 0.000, 0.000], [0.000, 0.500, 0.000], [0.500, 0.000, 0.000], [0.500, 0.500, 0.500], [0.000, 0.000, 0.500]], "density_kg_m3": 7623, "volume_a3_per_cell": 59.9, "magmom_total_mub_per_cell": 0.00, "dft_energy_ev_per_cell": -97.3, "raw_formation_energy_mev_per_atom": 805}


[2]
{"formula": "LiP2O2", "functional": "meta-GGA SCAN", "state": "PBEsol geometry", "cell": [[3.487, 0.000, 0.000], [0.000, 3.487, 0.000], [0.000, 0.000, 4.520]], "species": ["Li", "P", "P", "O", "O"], "frac_coords": [[0.000, 0.000, 0.000], [0.000, 0.000, 0.500], [0.500, 0.500, 0.500], [0.000, 0.500, 0.000], [0.500, 0.000, 0.000]], "density_kg_m3": 3048, "volume_a3_per_cell": 55.0, "magmom_total_mub_per_cell": 1.56, "de_polymorph_ev_per_atom": 0.500, "dft_energy_ev_per_cell": -33.6, "raw_formation_energy_mev_per_atom": 403}


[3]
{"formula": "LiP2O2", "functional": "meta-GGA SCAN", "state": "PBEsol geometry", "cell": [[3.078, 0.000, 0.000], [0.000, 3.078, 0.000], [0.000, 0.000, 12.182]], "species": ["Li", "Li", "P", "P", "P", "P", "O", "O", "O", "O"], "frac_coords": [[0.000, 0.000, 0.000], [0.500, 0.500, 0.500], [0.000, 0.500, 0.250], [0.000, 0.500, 0.750], [0.500, 0.000, 0.250], [0.500, 0.000, 0.750], [0.000, 0.000, 0.394], [0.000, 0.000, 0.606], [0.500, 0.500, 0.106], [0.500, 0.500, 0.894]], "density_kg_m3": 2903, "volume_a3_per_cell": 115.4, "magmom_total_mub_per_cell": 0.00, "de_polymorph_ev_per_atom": 0.000, "dft_energy_ev_per_cell": -72.3, "raw_formation_energy_mev_per_atom": -97}


[4]
{"formula": "LiPO3", "functional": "meta-GGA SCAN", "state": "PBEsol geometry", "cell": [[3.368, 0.000, 0.000], [0.000, 3.368, 0.000], [0.000, 0.000, 3.368]], "species": ["Li", "P", "O", "O", "O"], "frac_coords": [[0.000, 0.000, 0.000], [0.500, 0.500, 0.500], [0.000, 0.500, 0.500], [0.500, 0.000, 0.500], [0.500, 0.500, 0.000]], "density_kg_m3": 3735, "volume_a3_per_cell": 38.2, "magmom_total_mub_per_cell": 0.00, "dft_energy_ev_per_cell": -40.7, "raw_formation_energy_mev_per_atom": -1840}